# 1
The following is a DFT calculation (PBE) of KZr2Hg after structural relaxation.

The structure belongs to space group Pm (No. 6); the cell edges are 3.298, 3.298 and 10.267 Å and the angles 90.00°, 90.14° and 90.00°. The asymmetric unit holds K at (0.000, 0.000, 0.000), Zr at (0.494, 0.500, 0.336), Zr at (0.996, 0.000, 0.533) and Hg at (0.498, 0.500, 0.738).

For the formation energy, the calculation gives 138 meV per atom. The total energy comes out at -4.486 eV/atom.

---

# 2
The following is a DFT calculation (PBE) of K2ZrAs2Se6 after structural relaxation.

The structure belongs to space group C2/m (No. 12); the cell edges are 11.092, 7.396 and 8.577 Å and the angles 90.00°, 109.46° and 90.00°. The asymmetric unit holds K at (0.185, 0.000, 0.120), Zr at (0.000, 0.000, 0.500), As at (0.087, 0.500, 0.224), Se at (0.048, 0.242, 0.758) and Se at (0.244, 0.000, 0.518).

The total energy comes out at -4.431 eV/atom. As for the uncorrected formation energy: -68.3 kJ/mol of atoms.

---

# 3
The following is a DFT calculation (PBE) of Al2SbTe after structural relaxation.

The structure belongs to space group I-42d (No. 122); the cell edges are 6.687, 6.687 and 11.208 Å and the angles 90.00°, 90.00° and 90.00°. The asymmetric unit holds Al at (0.239, 0.250, 0.125), Sb at (0.000, 0.000, 0.000) and Te at (0.000, 0.000, 0.500).

Its relative energy among the computed polymorphs is 88 meV per atom. The total energy comes out at -3.709 eV/atom. As for the uncorrected formation energy: -2.1 kJ/mol of atoms.

---

# 4
The following is a DFT calculation (PBE) of TiAl2I after structural relaxation.

The structure belongs to space group Fm-3m (No. 225); the cell edges are 7.021, 7.021 and 7.021 Å and the angles 90.00°, 90.00° and 90.00°. The asymmetric unit holds Ti at (0.000, 0.000, 0.000), Al at (0.250, 0.250, 0.250) and I at (0.000, 0.000, 0.500).

Its relative energy among the computed polymorphs is 208 meV per atom. The total energy comes out at -3.526 eV/atom. As for the uncorrected formation energy: 68.2 kJ/mol of atoms.

---

# 5
The following is a DFT calculation (PBE) of LiSbPbO5 after structural relaxation.

The structure belongs to space group C2/c (No. 15); the cell edges are 6.716, 9.023 and 7.756 Å and the angles 90.00°, 111.84° and 90.00°. The asymmetric unit holds Li at (0.000, 0.060, 0.250), Sb at (0.000, 0.384, 0.250), Pb at (0.250, 0.250, 0.000), O at (0.000, 0.395, 0.750), O at (0.040, 0.223, 0.435) and O at (0.225, 0.083, 0.795).

The total energy comes out at -5.426 eV/atom. As for the uncorrected formation energy: -107.0 kJ/mol of atoms.

---

# 6
The following is a DFT calculation (PBE) of LaPmLuSn after structural relaxation.

The structure belongs to space group F-43m (No. 216); the cell edges are 7.843, 7.843 and 7.843 Å and the angles 90.00°, 90.00° and 90.00°. The asymmetric unit holds La at (0.000, 0.000, 0.000), Pm at (0.000, 0.000, 0.500), Lu at (0.250, 0.250, 0.250) and Sn at (0.250, 0.250, 0.750).

For the formation energy, the calculation gives -268 meV per atom. The total energy comes out at -4.818 eV/atom.

---

# 7
The following is a DFT calculation (PBE) of KCd3Cl after structural relaxation.

The structure belongs to space group Pm-3m (No. 221); the cell edges are 6.076, 6.076 and 6.076 Å and the angles 90.00°, 90.00° and 90.00°. The asymmetric unit holds K at (0.000, 0.000, 0.000), Cd at (0.000, 0.500, 0.500) and Cl at (0.500, 0.500, 0.500).

Its relative energy among the computed polymorphs is 0 meV per atom. The total energy comes out at -1.158 eV/atom. As for the uncorrected formation energy: -2.0 kJ/mol of atoms.

---

# 8
The following is a DFT calculation (PBE) of DyZr4Zn5 after structural relaxation.

The structure belongs to space group P4/mmm (No. 123); the cell edges are 3.389, 3.389 and 16.877 Å and the angles 90.00°, 90.00° and 90.00°. The asymmetric unit holds Dy at (0.000, 0.000, 0.000), Zr at (0.000, 0.000, 0.207), Zr at (0.000, 0.000, 0.402), Zn at (0.500, 0.500, 0.112), Zn at (0.500, 0.500, 0.305) and Zn at (0.500, 0.500, 0.500).

For the formation energy, the calculation gives -277 meV per atom. The total energy comes out at -4.794 eV/atom.

---

# 9
The following is a DFT calculation (PBE) of Zr2ZnSn after structural relaxation.

The structure belongs to space group I-42d (No. 122); the cell edges are 7.695, 7.695 and 5.971 Å and the angles 90.00°, 90.00° and 90.00°. The asymmetric unit holds Zr at (0.236, 0.750, 0.125), Zn at (0.000, 0.000, 0.000) and Sn at (0.000, 0.000, 0.500).

For the formation energy, the calculation gives -74 meV per atom. The total energy comes out at -5.667 eV/atom.

---

# 10
The following is a DFT calculation (PBE) of TlNiSe2 after structural relaxation.

The structure belongs to space group P2_1/m (No. 11); the cell edges are 4.009, 4.793 and 9.748 Å and the angles 90.00°, 92.84° and 90.00°. The asymmetric unit holds Tl at (0.185, 0.250, 0.354), Ni at (0.273, 0.250, 0.913), Se at (0.212, 0.750, 0.953) and Se at (0.334, 0.250, 0.676).

The total energy comes out at -3.999 eV/atom. As for the uncorrected formation energy: -21.3 kJ/mol of atoms.

---

# 11
The following is a DFT calculation (PBE) of CaNb2Pt2 after structural relaxation.

The structure belongs to space group P4/mbm (No. 127); the cell edges are 8.205, 8.205 and 2.832 Å and the angles 90.00°, 90.00° and 90.00°. The asymmetric unit holds Ca at (0.000, 0.000, 0.000), Nb at (0.118, 0.382, 0.000) and Pt at (0.174, 0.674, 0.500).

For the formation energy, the calculation gives -448 meV per atom. Its relative energy among the computed polymorphs is 0 meV per atom. The total energy comes out at -7.293 eV/atom.

---

# 12
The following is a DFT calculation (PBE) of Na3Dy2YS6 after structural relaxation.

The structure belongs to space group C2/m (No. 12); the cell edges are 6.904, 11.958 and 7.068 Å and the angles 90.00°, 108.99° and 90.00°. The asymmetric unit holds Na at (0.000, 0.000, 0.000), Na at (0.000, 0.334, 0.000), Dy at (0.000, 0.167, 0.500), Y at (0.000, 0.500, 0.500), S at (0.242, 0.000, 0.727) and S at (0.242, 0.333, 0.727).

The total energy comes out at -5.550 eV/atom. As for the uncorrected formation energy: -178.6 kJ/mol of atoms.